# 1
Computed, not measured: an optimized crystal structure of Sc4ZnCdN2 at the PBE level of DFT.

Results
As for the crystal system: hexagonal. The space-group type is No. 187. As for the uncorrected energy: -52.45 eV/f.u.

a = 3.217 Å, b = 3.217 Å, c = 14.646 Å
α = 90.00°, β = 90.00°, γ = 120.00°
Site moments in Bohr magnetons follow the coordinates.
Sites, in units of the cell vectors:
Cd (0.333, 0.667, 0.000)  0.02
N (0.000, 0.000, 0.257)  -0.01
N (0.000, 0.000, 0.743)  -0.01
Sc (0.667, 0.333, 0.175)  0.07
Sc (0.333, 0.667, 0.343)  0.06
Sc (0.333, 0.667, 0.657)  0.06
Sc (0.667, 0.333, 0.825)  0.07
Zn (0.667, 0.333, 0.500)  0.02


# 2
Computed, not measured: an optimized crystal structure of Zr2ScCdN at the PBE level of DFT.

Results
As for the crystal system: tetragonal. The space-group type is No. 123. As for the uncorrected energy: -37.00 eV/f.u.

a = 4.510 Å, b = 4.510 Å, c = 4.460 Å
α = 90.00°, β = 90.00°, γ = 90.00°
Sites, in units of the cell vectors:
Cd (0.000, 0.000, 0.500)
N (0.500, 0.500, 0.000)
Sc (0.500, 0.500, 0.500)
Zr (0.500, 0.000, 0.000)
Zr (0.000, 0.500, 0.000)


# 3
Computed, not measured: an optimized crystal structure of Ta4CdSiN2 at the PBE level of DFT.

Results
As for the crystal system: hexagonal. The space-group type is No. 187. As for the uncorrected energy: -74.34 eV/f.u.

a = 3.156 Å, b = 3.156 Å, c = 13.425 Å
α = 90.00°, β = 90.00°, γ = 120.00°
Sites, in units of the cell vectors:
Cd (0.667, 0.333, 0.500)
N (0.333, 0.667, 0.233)
N (0.333, 0.667, 0.767)
Si (0.000, 0.000, 0.000)
Ta (0.667, 0.333, 0.142)
Ta (0.000, 0.000, 0.319)
Ta (0.000, 0.000, 0.681)
Ta (0.667, 0.333, 0.858)


# 4
Computed, not measured: an optimized crystal structure of CdSiW4N2 at the PBE level of DFT.

Results
As for the crystal system: hexagonal. The space-group type is No. 187. As for the uncorrected energy: -73.29 eV/f.u.

a = 2.856 Å, b = 2.856 Å, c = 15.002 Å
α = 90.00°, β = 90.00°, γ = 120.00°
Sites, in units of the cell vectors:
Cd (0.000, 0.000, 0.500)
N (0.667, 0.333, 0.238)
N (0.667, 0.333, 0.762)
Si (0.333, 0.667, 0.000)
W (0.000, 0.000, 0.140)
W (0.333, 0.667, 0.333)
W (0.333, 0.667, 0.667)
W (0.000, 0.000, 0.860)


# 5
Computed, not measured: an optimized crystal structure of Y4CdSiN2 at the PBE level of DFT.

Results
As for the crystal system: hexagonal. The space-group type is No. 187. As for the uncorrected energy: -56.65 eV/f.u.

a = 3.502 Å, b = 3.502 Å, c = 15.084 Å
α = 90.00°, β = 90.00°, γ = 120.00°
Site moments in Bohr magnetons follow the coordinates.
Sites, in units of the cell vectors:
Cd (0.000, 0.000, 0.000)  0.03
N (0.333, 0.667, 0.263)  -0.01
N (0.333, 0.667, 0.737)  -0.01
Si (0.667, 0.333, 0.500)  0.00
Y (0.667, 0.333, 0.174)  0.10
Y (0.000, 0.000, 0.353)  0.01
Y (0.000, 0.000, 0.647)  0.01
Y (0.667, 0.333, 0.826)  0.10


# 6
Computed, not measured: an optimized crystal structure of Zr4CdSiN2 at the PBE level of DFT.

Results
As for the crystal system: hexagonal. The space-group type is No. 187. As for the uncorrected energy: -65.49 eV/f.u.

a = 3.294 Å, b = 3.294 Å, c = 14.142 Å
α = 90.00°, β = 90.00°, γ = 120.00°
Sites, in units of the cell vectors:
Cd (0.000, 0.000, 0.000)
N (0.667, 0.333, 0.262)
N (0.667, 0.333, 0.738)
Si (0.333, 0.667, 0.500)
Zr (0.333, 0.667, 0.176)
Zr (0.000, 0.000, 0.353)
Zr (0.000, 0.000, 0.647)
Zr (0.333, 0.667, 0.824)


# 7
Computed, not measured: an optimized crystal structure of Sm3CdN at the PBE level of DFT.

Results
As for the crystal system: cubic. The space-group type is No. 221. As for the uncorrected energy: -27.17 eV/f.u.

a = 4.948 Å, b = 4.948 Å, c = 4.948 Å
α = 90.00°, β = 90.00°, γ = 90.00°
Sites, in units of the cell vectors:
Cd (0.500, 0.500, 0.500)
N (0.000, 0.000, 0.000)
Sm (0.500, 0.000, 0.000)
Sm (0.000, 0.500, 0.000)
Sm (0.000, 0.000, 0.500)


# 8
Computed, not measured: an optimized crystal structure of Ta4CdSnN2 at the PBE level of DFT.

Results
As for the crystal system: hexagonal. The space-group type is No. 187. As for the uncorrected energy: -72.00 eV/f.u.

a = 3.177 Å, b = 3.177 Å, c = 14.158 Å
α = 90.00°, β = 90.00°, γ = 120.00°
Sites, in units of the cell vectors:
Cd (0.667, 0.333, 0.500)
N (0.333, 0.667, 0.249)
N (0.333, 0.667, 0.751)
Sn (0.000, 0.000, 0.000)
Ta (0.667, 0.333, 0.166)
Ta (0.000, 0.000, 0.330)
Ta (0.000, 0.000, 0.670)
Ta (0.667, 0.333, 0.834)


# 9
Computed, not measured: an optimized crystal structure of CdSnW4N2 at the PBE level of DFT.

Results
As for the crystal system: hexagonal. The space-group type is No. 187. As for the uncorrected energy: -70.54 eV/f.u.

a = 2.918 Å, b = 2.918 Å, c = 15.395 Å
α = 90.00°, β = 90.00°, γ = 120.00°
Sites, in units of the cell vectors:
Cd (0.000, 0.000, 0.000)
N (0.333, 0.667, 0.252)
N (0.333, 0.667, 0.748)
Sn (0.667, 0.333, 0.500)
W (0.667, 0.333, 0.161)
W (0.000, 0.000, 0.343)
W (0.000, 0.000, 0.657)
W (0.667, 0.333, 0.839)


# 10
Computed, not measured: an optimized crystal structure of Y4CdSnN2 at the PBE level of DFT.

Results
As for the crystal system: hexagonal. The space-group type is No. 187. As for the uncorrected energy: -55.76 eV/f.u.

a = 3.523 Å, b = 3.523 Å, c = 15.614 Å
α = 90.00°, β = 90.00°, γ = 120.00°
Site moments in Bohr magnetons follow the coordinates.
Sites, in units of the cell vectors:
Cd (0.333, 0.667, 0.500)  0.04
N (0.000, 0.000, 0.247)  0.00
N (0.000, 0.000, 0.753)  0.00
Sn (0.667, 0.333, 0.000)  0.00
Y (0.333, 0.667, 0.164)  0.01
Y (0.667, 0.333, 0.335)  0.11
Y (0.667, 0.333, 0.665)  0.12
Y (0.333, 0.667, 0.836)  0.01


# 11
Computed, not measured: an optimized crystal structure of Zr4CdSnN2 at the PBE level of DFT.

Results
As for the crystal system: hexagonal. The space-group type is No. 187. As for the uncorrected energy: -63.99 eV/f.u.

a = 3.313 Å, b = 3.313 Å, c = 14.744 Å
α = 90.00°, β = 90.00°, γ = 120.00°
Sites, in units of the cell vectors:
Cd (0.000, 0.000, 0.000)
N (0.333, 0.667, 0.248)
N (0.333, 0.667, 0.752)
Sn (0.667, 0.333, 0.500)
Zr (0.667, 0.333, 0.168)
Zr (0.000, 0.000, 0.336)
Zr (0.000, 0.000, 0.664)
Zr (0.667, 0.333, 0.832)


# 12
Computed, not measured: an optimized crystal structure of Ta2CdN2 at the PBE level of DFT.

Results
As for the crystal system: orthorhombic. The space-group type is No. 72. As for the uncorrected energy: -41.32 eV/f.u.

a = 6.557 Å, b = 6.557 Å, c = 6.557 Å
α = 120.81°, β = 74.44°, γ = 139.10°
Sites, in units of the cell vectors:
Cd (0.995, 0.495, 0.500)
Cd (0.495, 0.995, 0.500)
N (0.912, 0.591, 0.012)
N (0.412, 0.401, 0.321)
N (0.080, 0.091, 0.679)
N (0.580, 0.901, 0.988)
Ta (0.425, 0.089, 0.023)
Ta (0.925, 0.902, 0.335)
Ta (0.567, 0.589, 0.665)
Ta (0.067, 0.402, 0.977)